Material: VGaRh2Cl
Method: DFT, PBE
State: optimized geometry

Summary:
* SG: P4/mmm, No. 123
* uncorrected energy: -5.077 eV/atom

Lattice parameters (Å, degrees): 4.4592 5.1069 4.4592 90.00 90.00 90.00
Positions (direct):
V 0.0000 0.0000 0.0000
Cl 0.5000 0.5000 0.5000
Rh 0.5000 0.0000 0.0000
Rh 0.0000 0.0000 0.5000
Ga 0.0000 0.5000 0.0000